A plane-wave DFT calculation with PBE was carried out for a geometry-optimized Ga2MoH6 structure.

Results
For the raw total energy, the calculation gives -3.887 eV/atom.

```
data_Ga2MoH6
_chemical_formula_sum 'Ga2 Mo1 H6'
_space_group_name_H-M_alt 'P 1'
_space_group_IT_number 1
_cell_length_a 4.681
_cell_length_b 4.681
_cell_length_c 4.681
_cell_angle_alpha 60.00
_cell_angle_beta 60.00
_cell_angle_gamma 60.00
loop_
_space_group_symop_operation_xyz
'x,y,z'
loop_
_atom_site_label
_atom_site_fract_x
_atom_site_fract_y
_atom_site_fract_z
H1 0.732 0.268 0.732
H2 0.732 0.732 0.268
H3 0.732 0.268 0.268
Ga1 0.250 0.250 0.250
H4 0.268 0.268 0.732
Ga2 0.750 0.750 0.750
H5 0.268 0.732 0.732
Mo1 0.000 0.000 0.000
H6 0.268 0.732 0.268
```